Entry 1:
Ga2Hg2Ge after structural relaxation, computed with PBEsol.

Lattice parameters (Å, degrees): 4.1916 4.1916 12.1037 90.00 90.00 90.00
Closest atoms and distances in Å follow each position.
Element x y z (fractional)
Ga (0.0000, 0.0000, 0.0994)  1 Ga 2.41
Ga (0.0000, 0.0000, 0.9006)  1 Ga 2.41
Ga (0.5000, 0.5000, 0.4006)  1 Ga 2.41
Ga (0.5000, 0.5000, 0.5994)  1 Ga 2.41
Hg (0.0000, 0.5000, 0.2500)  4 Ga 2.78, 4 Hg 2.96
Hg (0.0000, 0.5000, 0.7500)  4 Ga 2.78, 4 Hg 2.96
Hg (0.5000, 0.0000, 0.2500)  4 Ga 2.78, 4 Hg 2.96
Hg (0.5000, 0.0000, 0.7500)  4 Ga 2.78, 4 Hg 2.96
Ge (0.0000, 0.0000, 0.5000)  8 Ga 3.20
Ge (0.5000, 0.5000, 0.0000)  8 Ga 3.20

energy = -23.0 eV per cell
SG = I4/mmm (139)

=====

Entry 2:
Ga2HgGePb after structural relaxation, computed with PBEsol.

Lattice parameters (Å, degrees): 4.9749 4.9749 5.7199 90.00 90.00 90.00
Closest atoms and distances in Å follow each position.
Element x y z (fractional)
Ga (0.0000, 0.5000, 0.0000)  2 Hg 2.49
Ga (0.5000, 0.0000, 0.0000)  2 Hg 2.49
Hg (0.0000, 0.0000, 0.0000)  4 Ga 2.49
Ge (0.5000, 0.5000, 0.5000)  4 Pb 3.52, 8 Ga 3.79
Pb (0.0000, 0.0000, 0.5000)  2 Hg 2.86

energy = -12.9 eV per cell
SG = P4/mmm (123)

=====

Entry 3:
GaGeI2O after structural relaxation, computed with PBEsol.

Lattice parameters (Å, degrees): 5.6894 5.6894 3.6056 90.00 90.00 90.00
Closest atoms and distances in Å follow each position.
Element x y z (fractional)
Ga (0.0000, 0.0000, 0.0000)  2 O 1.80
Ge (0.5000, 0.5000, 0.5000)  8 I 3.37, 2 Ge 3.61
I (0.0000, 0.5000, 0.0000)  2 Ga 2.84
I (0.5000, 0.0000, 0.0000)  2 Ga 2.84
O (0.0000, 0.0000, 0.5000)  2 Ga 1.80

SG = P4/mmm (123)
formation energy (no corrections) = -6.1 kcal/mol of atoms

=====

| no. | total magnetization (μB/cell) | calculated volume (Å³/atom) |
| --- | --- | --- |
| 1 | 0.00 | 21.27 |
| 2 | 0.00 | 28.31 |
| 3 | 0.00 | 23.34 |